A plane-wave DFT calculation with PBE was carried out for a geometry-optimized La4TmCd structure.

Properties
For the energy of formation, the calculation gives -94 meV per atom. For the relative energy among the computed polymorphs, the calculation gives 0.0 meV per atom.

```
data_La4TmCd
_space_group_name_H-M_alt 'P 4/m m m'
_space_group_IT_number 123
_space_group_name_Hall '-P 4 2'
_cell_length_a 3.7509
_cell_length_b 3.7509
_cell_length_c 14.3153
_cell_angle_alpha 90.00
_cell_angle_beta 90.00
_cell_angle_gamma 90.00
loop_
_atom_site_label
_atom_site_type_symbol
_atom_site_fract_x
_atom_site_fract_y
_atom_site_fract_z
La1 La 0.0000 0.0000 0.1499
La2 La 0.5000 0.5000 0.3293
Tm1 Tm 0.0000 0.0000 0.5000
Cd1 Cd 0.5000 0.5000 0.0000
```